{"formula": "BaPuO3", "functional": "GGA-PBE", "state": "relaxed", "lattice": [[-0.285, -0.313, -4.392], [-4.102, -1.579, 0.379], [-1.599, 4.108, -0.189]], "species": ["Pu", "Ba", "O", "O", "O"], "frac_coords": [[0.000, 0.000, 0.000], [0.500, 0.500, 0.500], [0.000, 0.000, 0.500], [0.500, 0.000, 0.000], [0.000, 0.500, 0.000]], "e_form_raw_ev_per_atom": -2.969, "total_magnetization_mub_per_fu": 4.0, "spacegroup": "Pm-3m", "total_energy_ev_per_cell": -45.976}


{"formula": "LaCuAsH2", "functional": "GGA-PBE", "state": "relaxed", "lattice": [[-3.204, -0.947, -2.181], [3.289, -4.781, -2.755], [-1.217, -2.491, 2.870]], "species": ["Cu", "As", "H", "La", "H"], "frac_coords": [[0.000, 0.000, 0.000], [0.500, 0.500, 0.500], [0.000, 0.000, 0.500], [0.000, 0.500, 0.000], [0.500, 0.000, 0.000]], "total_magnetization_mub_per_fu": 0.0, "spacegroup": "P4/mmm", "total_energy_ev_per_cell": -19.242}


{"formula": "Ac2BeAgAu6", "functional": "GGA-PBE", "state": "relaxed", "lattice": [[6.451, 0.120, 0.153], [0.118, 7.476, 0.690], [3.390, 4.277, 5.304]], "species": ["Au", "Au", "Ac", "Ag", "Au", "Be", "Au", "Au", "Au", "Ac"], "frac_coords": [[0.747, 0.733, 0.981], [0.760, 0.282, 0.072], [0.705, 0.260, 0.552], [0.000, 0.000, 0.000], [0.253, 0.267, 0.019], [0.500, 0.500, 0.000], [0.239, 0.182, 0.476], [0.240, 0.718, 0.928], [0.761, 0.818, 0.524], [0.295, 0.740, 0.448]], "total_magnetization_mub_per_fu": 0.0, "spacegroup": "P-1", "formation_enthalpy_0k_ev_per_atom": -0.48, "total_energy_ev_per_cell": -39.245}


{"formula": "DyHo3H8", "functional": "GGA-PBE", "state": "relaxed", "lattice": [[5.149, 0.000, 0.000], [0.000, 5.149, 0.000], [0.000, 0.000, 5.149]], "species": ["H", "H", "H", "Dy", "H", "Ho", "Ho", "H", "Ho", "H", "H", "H"], "frac_coords": [[0.251, 0.749, 0.251], [0.749, 0.749, 0.749], [0.749, 0.749, 0.251], [0.000, 0.000, 0.000], [0.251, 0.251, 0.251], [0.000, 0.500, 0.500], [0.500, 0.500, 0.000], [0.251, 0.749, 0.749], [0.500, 0.000, 0.500], [0.749, 0.251, 0.251], [0.749, 0.251, 0.749], [0.251, 0.251, 0.749]], "total_magnetization_mub_per_fu": 0.0, "spacegroup": "Pm-3m", "total_energy_ev_per_cell": -53.802}


{"formula": "GeRh2C", "functional": "GGA-PBE", "state": "relaxed", "lattice": [[5.153, 0.000, 0.000], [0.000, 5.153, 0.000], [2.577, 2.577, 4.775]], "species": ["Rh", "Rh", "Ge", "Rh", "Ge", "Rh", "C", "C"], "frac_coords": [[0.375, 0.458, 0.750], [0.208, 0.625, 0.250], [0.750, 0.250, 0.500], [0.542, 0.125, 0.250], [0.000, 0.000, 0.000], [0.875, 0.792, 0.750], [0.250, 0.750, 0.500], [0.500, 0.500, 0.000]], "total_magnetization_mub_per_fu": 0.0, "spacegroup": "I-42d", "formation_enthalpy_0k_ev_per_atom": 0.17, "total_energy_ev_per_cell": -55.712}


{"formula": "Ba12Ag3F5", "functional": "GGA-PBE", "state": "relaxed", "lattice": [[15.847, 0.000, 0.000], [-5.282, 14.941, 0.000], [-5.282, -7.471, 12.939]], "species": ["Ba", "Ba", "Ba", "Ba", "Ba", "Ba", "Ba", "Ba", "Ba", "Ba", "F", "Ba", "Ba", "Ba", "F", "Ba", "Ba", "Ba", "F", "Ag", "F", "Ag", "Ba", "Ba", "Ba", "F", "Ag", "Ag", "Ba", "F", "Ba", "Ba", "Ba", "Ba", "Ba", "Ba", "F", "Ba", "Ba", "Ba", "Ag", "Ba", "Ba", "Ba", "F", "Ag", "Ba", "Ba", "F", "Ba", "Ag", "Ag", "F", "Ba", "F", "F", "Ba", "Ba", "Ba", "F", "Ba", "Ba", "Ba", "F", "Ag", "Ba", "F", "F", "Ag", "Ba", "Ba", "F", "Ag", "Ba", "F", "Ag", "F", "F", "Ba", "Ba"], "frac_coords": [[0.404, 0.382, 0.591], [0.790, 0.313, 0.909], [0.977, 0.382, 0.290], [0.091, 0.187, 0.210], [0.904, 0.091, 0.882], [0.591, 0.882, 0.404], [0.591, 0.710, 0.687], [0.596, 0.618, 0.409], [0.187, 0.096, 0.977], [0.118, 0.710, 0.523], [0.375, 0.250, 0.125], [0.904, 0.813, 0.523], [0.813, 0.904, 0.023], [0.477, 0.687, 0.096], [0.500, 0.500, 0.000], [0.596, 0.977, 0.687], [0.118, 0.409, 0.096], [0.523, 0.210, 0.118], [0.625, 0.875, 0.250], [0.750, 0.875, 0.625], [0.750, 0.125, 0.875], [0.125, 0.875, 0.750], [0.096, 0.909, 0.118], [0.404, 0.023, 0.313], [0.909, 0.096, 0.618], [0.500, 0.000, 0.500], [0.750, 0.375, 0.125], [0.875, 0.125, 0.250], [0.290, 0.882, 0.977], [0.625, 0.750, 0.875], [0.091, 0.904, 0.382], [0.977, 0.596, 0.187], [0.618, 0.023, 0.210], [0.523, 0.313, 0.904], [0.313, 0.523, 0.404], [0.477, 0.790, 0.882], [0.375, 0.125, 0.750], [0.710, 0.118, 0.023], [0.023, 0.618, 0.710], [0.382, 0.404, 0.091], [0.375, 0.625, 0.250], [0.409, 0.290, 0.313], [0.313, 0.790, 0.409], [0.882, 0.591, 0.904], [0.250, 0.875, 0.125], [0.625, 0.250, 0.375], [0.210, 0.687, 0.091], [0.187, 0.091, 0.710], [0.875, 0.625, 0.750], [0.409, 0.118, 0.596], [0.250, 0.125, 0.375], [0.875, 0.750, 0.125], [0.750, 0.625, 0.375], [0.882, 0.290, 0.477], [0.250, 0.375, 0.625], [0.000, 0.500, 0.000], [0.096, 0.187, 0.477], [0.023, 0.404, 0.813], [0.813, 0.909, 0.290], [0.000, 0.500, 0.500], [0.790, 0.477, 0.382], [0.710, 0.591, 0.187], [0.687, 0.477, 0.596], [0.500, 0.500, 0.500], [0.625, 0.375, 0.750], [0.382, 0.977, 0.790], [0.875, 0.250, 0.625], [0.125, 0.750, 0.375], [0.250, 0.625, 0.875], [0.290, 0.409, 0.813], [0.618, 0.596, 0.909], [0.000, 0.000, 0.500], [0.125, 0.250, 0.875], [0.909, 0.813, 0.790], [0.125, 0.375, 0.250], [0.375, 0.750, 0.625], [0.000, 0.000, 0.000], [0.500, 0.000, 0.000], [0.687, 0.210, 0.591], [0.210, 0.523, 0.618]], "e_form_raw_ev_per_atom": -1.394, "total_magnetization_mub_per_fu": 4.2, "spacegroup": "Ia-3d", "total_energy_ev_per_cell": -275.437}